This record from Alexandria describes a PBEsol-optimized structure of Tm5Re2O12. The functional is SCAN.

Cell: 6.680 6.680 7.358 Å, 106.24 106.24 49.09°
Sites, in units of the cell vectors:
Tm: 0.000 0.000 0.000
Tm: 0.302 0.302 0.141
Tm: 0.315 0.315 0.677
Tm: 0.685 0.685 0.323
Tm: 0.698 0.698 0.859
Re: 0.216 0.784 0.500
Re: 0.784 0.216 0.500
O: 0.002 0.002 0.291
O: 0.087 0.577 0.413
O: 0.099 0.594 0.928
O: 0.406 0.901 0.072
O: 0.423 0.913 0.587
O: 0.499 0.499 0.318
O: 0.501 0.501 0.682
O: 0.577 0.087 0.413
O: 0.594 0.099 0.928
O: 0.901 0.406 0.072
O: 0.913 0.423 0.587
O: 0.998 0.998 0.709

Calculated values
* space-group type: C2/m
* D(E_F): 0.959 states/eV per cell
* total energy: -28.286 eV per atom

This record from Alexandria describes a PBEsol-optimized structure of ReWO6. The functional is SCAN.

Cell: 5.353 5.353 5.353 Å, 60.00 60.00 60.00°
Sites, in units of the cell vectors:
Re: 0.000 0.000 0.000
W: 0.500 0.500 0.500
O: 0.248 0.248 0.752
O: 0.248 0.752 0.248
O: 0.248 0.752 0.752
O: 0.752 0.248 0.248
O: 0.752 0.248 0.752
O: 0.752 0.752 0.248

Calculated values
* space-group type: Fm-3m
* D(E_F): 1.963 states/eV per cell
* total energy: -24.172 eV per atom

This record from Alexandria describes a PBEsol-optimized structure of Y7ReO14. The functional is SCAN.

Cell: 7.504 10.512 7.453 Å, 90.00 90.00 90.00°
Sites, in units of the cell vectors:
Y: 0.000 0.000 0.000
Y: 0.000 0.000 0.500
Y: 0.000 0.500 0.000
Y: 0.238 0.265 0.267
Y: 0.238 0.265 0.733
Y: 0.262 0.765 0.233
Y: 0.262 0.765 0.767
Y: 0.500 0.000 0.500
Y: 0.500 0.500 0.000
Y: 0.500 0.500 0.500
Y: 0.738 0.235 0.233
Y: 0.738 0.235 0.767
Y: 0.762 0.735 0.267
Y: 0.762 0.735 0.733
Re: 0.000 0.500 0.500
Re: 0.500 0.000 0.000
O: 0.008 0.134 0.231
O: 0.008 0.134 0.769
O: 0.064 0.613 0.318
O: 0.064 0.613 0.682
O: 0.225 0.365 0.000
O: 0.226 0.417 0.500
O: 0.235 0.636 0.000
O: 0.265 0.136 0.500
O: 0.274 0.917 0.000
O: 0.275 0.865 0.500
O: 0.436 0.113 0.182
O: 0.436 0.113 0.818
O: 0.492 0.634 0.269
O: 0.492 0.634 0.731
O: 0.508 0.366 0.269
O: 0.508 0.366 0.731
O: 0.564 0.887 0.182
O: 0.564 0.887 0.818
O: 0.725 0.135 0.500
O: 0.726 0.083 0.000
O: 0.735 0.864 0.500
O: 0.765 0.364 0.000
O: 0.774 0.583 0.500
O: 0.775 0.635 0.000
O: 0.936 0.387 0.318
O: 0.936 0.387 0.682
O: 0.992 0.866 0.231
O: 0.992 0.866 0.769

Calculated values
* excess energy over the best structure of this formula in the dataset: 0 meV per atom
* space-group type: Pnnm
* total energy: -19.508 eV per atom

This record from Alexandria describes a PBEsol-optimized structure of Y3ReO8. The functional is SCAN.

Cell: 7.148 5.981 14.297 Å, 90.00 111.16 90.00°
Sites, in units of the cell vectors:
Y: 0.094 0.242 0.202
Y: 0.094 0.258 0.702
Y: 0.163 0.198 0.446
Y: 0.163 0.302 0.946
Y: 0.394 0.686 0.334
Y: 0.394 0.814 0.834
Y: 0.606 0.186 0.166
Y: 0.606 0.314 0.666
Y: 0.837 0.698 0.054
Y: 0.837 0.802 0.554
Y: 0.906 0.742 0.298
Y: 0.906 0.758 0.798
Re: 0.320 0.746 0.090
Re: 0.320 0.754 0.590
Re: 0.680 0.246 0.410
Re: 0.680 0.254 0.910
O: 0.083 0.694 0.979
O: 0.083 0.806 0.479
O: 0.147 0.030 0.843
O: 0.147 0.470 0.343
O: 0.166 0.646 0.171
O: 0.166 0.854 0.671
O: 0.189 0.530 0.827
O: 0.189 0.970 0.327
O: 0.247 0.048 0.096
O: 0.247 0.452 0.596
O: 0.382 0.054 0.589
O: 0.382 0.446 0.089
O: 0.465 0.203 0.785
O: 0.465 0.297 0.285
O: 0.479 0.695 0.519
O: 0.479 0.805 0.019
O: 0.521 0.195 0.981
O: 0.521 0.305 0.481
O: 0.535 0.703 0.715
O: 0.535 0.797 0.215
O: 0.618 0.554 0.911
O: 0.618 0.946 0.411
O: 0.753 0.548 0.404
O: 0.753 0.952 0.904
O: 0.811 0.030 0.673
O: 0.811 0.470 0.173
O: 0.834 0.146 0.329
O: 0.834 0.354 0.829
O: 0.853 0.530 0.657
O: 0.853 0.970 0.157
O: 0.917 0.194 0.521
O: 0.917 0.306 0.021

Calculated values
* space-group type: P2_1/c
* D(E_F): 0.000 states/eV per cell
* total energy: -20.164 eV per atom

This record from Alexandria describes a PBEsol-optimized structure of Y7ReO14. The functional is SCAN.

Cell: 7.589 7.589 7.589 Å, 58.35 58.35 58.35°
Sites, in units of the cell vectors:
Y: 0.000 0.000 0.000
Y: 0.000 0.000 0.500
Y: 0.000 0.500 0.000
Y: 0.000 0.500 0.500
Y: 0.500 0.000 0.000
Y: 0.500 0.000 0.500
Y: 0.500 0.500 0.000
Re: 0.500 0.500 0.500
O: 0.134 0.134 0.599
O: 0.134 0.599 0.134
O: 0.137 0.137 0.137
O: 0.199 0.572 0.572
O: 0.401 0.866 0.866
O: 0.428 0.428 0.801
O: 0.428 0.801 0.428
O: 0.572 0.199 0.572
O: 0.572 0.572 0.199
O: 0.599 0.134 0.134
O: 0.801 0.428 0.428
O: 0.863 0.863 0.863
O: 0.866 0.401 0.866
O: 0.866 0.866 0.401

Calculated values
* excess energy over the best structure of this formula in the dataset: 54 meV per atom
* space-group type: R-3m
* total energy: -19.454 eV per atom

This record from Alexandria describes a PBEsol-optimized structure of Zn3ReO. The functional is SCAN.

Cell: 4.825 4.825 4.825 Å, 90.00 90.00 90.00°
Sites, in units of the cell vectors:
Zn: 0.000 0.000 0.500
Zn: 0.000 0.500 0.000
Zn: 0.500 0.000 0.000
Re: 0.000 0.000 0.000
O: 0.500 0.500 0.500

Calculated values
* space-group type: Pm-3m
* D(E_F): 2.819 states/eV per cell
* total energy: -22.166 eV per atom

This record from Alexandria describes a PBEsol-optimized structure of Zr9Re4O3. The functional is SCAN.

Cell: 8.431 8.431 8.565 Å, 90.00 90.00 120.00°
Sites, in units of the cell vectors:
Zr: 0.093 0.547 0.250
Zr: 0.203 0.405 0.560
Zr: 0.203 0.405 0.940
Zr: 0.203 0.797 0.560
Zr: 0.203 0.797 0.940
Zr: 0.405 0.203 0.060
Zr: 0.405 0.203 0.440
Zr: 0.453 0.547 0.250
Zr: 0.453 0.907 0.250
Zr: 0.547 0.093 0.750
Zr: 0.547 0.453 0.750
Zr: 0.595 0.797 0.560
Zr: 0.595 0.797 0.940
Zr: 0.797 0.203 0.060
Zr: 0.797 0.203 0.440
Zr: 0.797 0.595 0.060
Zr: 0.797 0.595 0.440
Zr: 0.907 0.453 0.750
Re: 0.000 0.000 0.000
Re: 0.000 0.000 0.500
Re: 0.108 0.215 0.250
Re: 0.108 0.892 0.250
Re: 0.215 0.108 0.750
Re: 0.785 0.892 0.250
Re: 0.892 0.108 0.750
Re: 0.892 0.785 0.750
O: 0.000 0.500 0.000
O: 0.000 0.500 0.500
O: 0.500 0.000 0.000
O: 0.500 0.000 0.500
O: 0.500 0.500 0.000
O: 0.500 0.500 0.500

Calculated values
* space-group type: P6_3/mmc
* D(E_F): 19.330 states/eV per cell
* total energy: -37.548 eV per atom

This record from Alexandria describes a PBEsol-optimized structure of Sb3RhO. The functional is SCAN.

Cell: 4.591 4.591 4.591 Å, 90.00 90.00 90.00°
Sites, in units of the cell vectors:
Sb: 0.000 0.000 0.500
Sb: 0.000 0.500 0.000
Sb: 0.500 0.000 0.000
Rh: 0.500 0.500 0.500
O: 0.000 0.000 0.000

Calculated values
* space-group type: Pm-3m
* D(E_F): 1.478 states/eV per cell
* total energy: -30.183 eV per atom

This record from Alexandria describes a PBEsol-optimized structure of SbRhO3. The functional is SCAN.

Cell: 3.896 3.896 3.896 Å, 90.00 90.00 90.00°
Sites, in units of the cell vectors:
Sb: 0.000 0.000 0.000
Rh: 0.500 0.500 0.500
O: 0.000 0.500 0.500
O: 0.500 0.000 0.500
O: 0.500 0.500 0.000

Calculated values
* space-group type: Pm-3m
* D(E_F): 1.106 states/eV per cell
* total energy: -18.518 eV per atom

This record from Alexandria describes a PBEsol-optimized structure of SbRhO3. The functional is SCAN.

Cell: 3.952 3.952 3.952 Å, 90.00 90.00 90.00°
Sites, in units of the cell vectors:
Sb: 0.000 0.000 0.000
Rh: 0.500 0.500 0.500
O: 0.000 0.000 0.500
O: 0.000 0.500 0.000
O: 0.500 0.000 0.000

Calculated values
* space-group type: Pm-3m
* D(E_F): 3.440 states/eV per cell
* total energy: -18.399 eV per atom

This record from Alexandria describes a PBEsol-optimized structure of ScSnRh2O. The functional is SCAN.

Cell: 4.891 4.891 3.942 Å, 90.00 90.00 90.00°
Sites, in units of the cell vectors:
Sc: 0.000 0.000 0.000
Sn: 0.500 0.500 0.500
Rh: 0.000 0.500 0.500
Rh: 0.500 0.000 0.500
O: 0.500 0.500 0.000

Calculated values
* space-group type: P4/mmm
* D(E_F): 3.761 states/eV per cell
* total energy: -24.652 eV per atom

This record from Alexandria describes a PBEsol-optimized structure of Rh2SeO. The functional is SCAN.

Cell: 5.819 5.819 5.819 Å, 90.00 90.00 90.00°
Sites, in units of the cell vectors:
Rh: 0.250 0.250 0.250
Rh: 0.250 0.250 0.750
Rh: 0.250 0.750 0.250
Rh: 0.250 0.750 0.750
Rh: 0.750 0.250 0.250
Rh: 0.750 0.250 0.750
Rh: 0.750 0.750 0.250
Rh: 0.750 0.750 0.750
Se: 0.000 0.000 0.000
Se: 0.000 0.500 0.500
Se: 0.500 0.000 0.500
Se: 0.500 0.500 0.000
O: 0.000 0.000 0.500
O: 0.000 0.500 0.000
O: 0.500 0.000 0.000
O: 0.500 0.500 0.500

Calculated values
* space-group type: Fm-3m
* D(E_F): 13.444 states/eV per cell
* total energy: -23.419 eV per atom

total energy of number 5 (Y7ReO14)?
-19.454 eV per atom

Look up the total energy of the first one.
-28.286 eV per atom

Repeat the first record exactly.
This record from Alexandria describes a PBEsol-optimized structure of Tm5Re2O12. The functional is SCAN.

Cell: 6.680 6.680 7.358 Å, 106.24 106.24 49.09°
Sites, in units of the cell vectors:
Tm: 0.000 0.000 0.000
Tm: 0.302 0.302 0.141
Tm: 0.315 0.315 0.677
Tm: 0.685 0.685 0.323
Tm: 0.698 0.698 0.859
Re: 0.216 0.784 0.500
Re: 0.784 0.216 0.500
O: 0.002 0.002 0.291
O: 0.087 0.577 0.413
O: 0.099 0.594 0.928
O: 0.406 0.901 0.072
O: 0.423 0.913 0.587
O: 0.499 0.499 0.318
O: 0.501 0.501 0.682
O: 0.577 0.087 0.413
O: 0.594 0.099 0.928
O: 0.901 0.406 0.072
O: 0.913 0.423 0.587
O: 0.998 0.998 0.709

Calculated values
* space-group type: C2/m
* D(E_F): 0.959 states/eV per cell
* total energy: -28.286 eV per atom